Below is crystalline Cs2NaCeF6 at its relaxed geometry, with properties calculated at the GGA-PBEsol level.

## Properties
- Volume: 19.187 Å³/atom
- E_form (uncorrected): -3122 kJ/mol of formula units
- Space group: Fm-3m, No. 225

Lattice parameters (Å, degrees): 6.474 6.474 6.474 60.00 60.00 60.00
Last column: magnetic moment on the atom in μB.
Positions (direct):
F 0.248 0.248 0.752  -0.01
F 0.752 0.752 0.248  -0.01
F 0.248 0.752 0.752  -0.01
F 0.248 0.752 0.248  -0.01
F 0.752 0.248 0.752  -0.01
F 0.752 0.248 0.248  -0.01
Ce 0.000 0.000 0.000  0.97
Na 0.500 0.500 0.500  0.00
Cs 0.750 0.750 0.750  0.00
Cs 0.250 0.250 0.250  0.00